Record 1
Material: CaTm2Th
Method: DFT, PBE
State: relaxed

## Properties
Energy above the most stable polymorph in this dataset ... 1 meV/atom
Raw total energy ... -54.50 eV for the cell shown
Formation enthalpy at 0 K ... 0.05 eV per atom

Lattice parameters (Å, degrees): 3.5888 3.5888 35.3174 90.00 90.00 120.00
Space group R3m (No. 160, hexagonal axes)
Inequivalent atoms, fractional coordinates:
Ca (0.0000, 0.0000, 0.0000) x3
Tm (0.0000, 0.0000, 0.5773) x3
Tm (0.0000, 0.0000, 0.7549) x3
Th (0.0000, 0.0000, 0.1658) x3

Record 2
Material: CaTm2Th
Method: DFT, PBE
State: relaxed

## Properties
Energy above the most stable polymorph in this dataset ... 105 meV/atom
Raw total energy ... -53.24 eV for the cell shown
Formation enthalpy at 0 K ... 0.15 eV per atom

Lattice parameters (Å, degrees): 3.5467 3.5467 36.8910 90.00 90.00 120.00
Space group R-3m (No. 166, hexagonal axes)
Inequivalent atoms, fractional coordinates:
Ca (0.0000, 0.0000, 0.0000) x3
Tm (0.0000, 0.0000, 0.0918) x6
Th (0.0000, 0.0000, 0.5000) x3

Record 3
Material: CaTm2Th
Method: DFT, PBE
State: relaxed

## Properties
Energy above the most stable polymorph in this dataset ... 135 meV/atom
Raw total energy ... -17.63 eV for the cell shown
Formation enthalpy at 0 K ... 0.18 eV per atom

Lattice parameters (Å, degrees): 5.1407 5.1407 4.9072 90.00 90.00 90.00
Space group P4/mmm (No. 123)
Inequivalent atoms, fractional coordinates:
Ca (0.0000, 0.0000, 0.0000) x1
Tm (0.0000, 0.5000, 0.5000) x2
Th (0.5000, 0.5000, 0.0000) x1